Crystalline Cs2PmNi3F12 at its relaxed geometry. Source: Alexandria via LeMat-Bulk, functional GGA+U.

Results
* calculated density: 4.50 g/cm3
* DFT total energy: -4.70 eV/atom
* crystal system: trigonal
* space group: R-3m (166)

Cell: 7.5992 7.5992 7.5992 Å, 58.68 58.68 58.68°
Sites, in units of the cell vectors:
F 0.0945 0.6328 0.0945
F 0.7017 0.0858 0.7017
Ni 0.5000 0.0000 0.0000
F 0.9055 0.9055 0.3672
F 0.9055 0.3672 0.9055
Cs 0.3880 0.3880 0.3880
F 0.3672 0.9055 0.9055
Cs 0.6120 0.6120 0.6120
F 0.7017 0.7017 0.0858
Pm 0.0000 0.0000 0.0000
Ni 0.0000 0.0000 0.5000
F 0.2983 0.9142 0.2983
F 0.9142 0.2983 0.2983
F 0.2983 0.2983 0.9142
F 0.6328 0.0945 0.0945
Ni 0.0000 0.5000 0.0000
F 0.0858 0.7017 0.7017
F 0.0945 0.0945 0.6328